No. 1
DFT (PBE) results for crystalline Tb2Ag4S5 at its relaxed geometry.

The density of states at the Fermi level is 4.6 states/eV/f.u. As for the total magnetic moment: 0.00 μB per formula unit. The calculated density is 6.1 g/cm3. The energy relative to the elements, uncorrected is -0.7812 eV per atom. As for the calculated volume: 249.5 Å³/f.u. As for the total energy: -4.54 eV/atom.

It has space group R-3m (No. 166, hexagonal axes), with a = 4.0721 Å, b = 4.0721 Å, c = 52.1297 Å, α = 90.00°, β = 90.00° and γ = 120.00°. The inequivalent atoms are Tb at (0.0000, 0.0000, 0.1359), Ag at (0.0000, 0.0000, 0.3096), Ag at (0.0000, 0.0000, 0.4148), S at (0.0000, 0.0000, 0.2254), S at (0.0000, 0.0000, 0.3680) and S at (0.0000, 0.0000, 0.5000).

=====

No. 2
DFT (PBE) results for crystalline TbAgS at its relaxed geometry.

The density of states at the Fermi level is 1.0 states/eV/f.u. As for the total magnetic moment: 0.00 μB per formula unit. The calculated density is 7.1 g/cm3. The energy relative to the elements, uncorrected is -0.9985 eV per atom. As for the calculated volume: 69.9 Å³/f.u. As for the total energy: -4.87 eV/atom.

It has space group C2/m (No. 12), with a = 20.8892 Å, b = 3.8112 Å, c = 7.3695 Å, α = 90.00°, β = 107.67° and γ = 90.00°. The inequivalent atoms are Tb at (0.0958, 0.0000, 0.0802), Tb at (0.1036, 0.0000, 0.5899), Ag at (0.1925, 0.5000, 0.3965), Ag at (0.2475, 0.5000, 0.7983), S at (0.0040, 0.0000, 0.2618) and S at (0.1370, 0.5000, 0.8735).